1.
Material: TbSmY6Tm2
Method: DFT, PBE-GGA
State: relaxed

Structure (POSCAR):
```
TbSmY6Tm2
1.0
-6.3695 -6.2929 3.2845
-3.0449 -0.3446 -8.2201
6.8780 -5.0961 1.9193
Tm Y Sm Tb
4 12 2 2
Direct
0.5488 0.1979 0.3002
0.0488 0.3002 0.1979
0.9512 0.6998 0.8021
0.4512 0.8021 0.6998
0.5565 0.7554 0.1190
0.9435 0.8810 0.2446
0.3842 0.5114 0.2938
0.8842 0.2938 0.5114
0.1821 0.5646 0.0148
0.3179 0.9852 0.4354
0.8179 0.4354 0.9852
0.1158 0.7062 0.4886
0.6821 0.0148 0.5646
0.6158 0.4886 0.7062
0.4435 0.2446 0.8810
0.0565 0.1190 0.7554
0.2500 0.9722 0.0278
0.7500 0.0278 0.9722
0.7500 0.5904 0.4096
0.2500 0.4096 0.5904
```

- Energy of formation: 0.121 eV/atom
- Theoretical density: 6.0 g/cm3

2.
Material: NdY6Er2Th
Method: DFT, PBE-GGA
State: relaxed

Structure (POSCAR):
```
NdY6Er2Th
1.0
9.0295 -1.9083 -1.9803
0.8956 8.5733 -1.8960
0.8956 -2.2124 8.4971
Nd Y Er Th
2 12 4 2
Direct
0.7500 0.5899 0.4101
0.2500 0.4101 0.5899
0.8891 0.2928 0.5194
0.5589 0.7651 0.1136
0.6827 0.0145 0.5701
0.4411 0.2349 0.8864
0.9411 0.8864 0.2349
0.1109 0.7072 0.4806
0.1827 0.5701 0.0145
0.0589 0.1136 0.7651
0.3173 0.9855 0.4299
0.3891 0.5194 0.2928
0.8173 0.4299 0.9855
0.6109 0.4806 0.7072
0.5549 0.1972 0.2972
0.4451 0.8028 0.7028
0.0549 0.2972 0.1972
0.9451 0.7028 0.8028
0.2500 0.9660 0.0340
0.7500 0.0340 0.9660
```

- Energy of formation: 0.148 eV/atom
- Theoretical density: 6.3 g/cm3

3.
Material: ReBrF3
Method: DFT, PBE-GGA
State: relaxed

Structure (POSCAR):
```
ReBrF3
1.0
-1.5286 2.0421 3.8155
0.9441 -3.7916 2.4076
4.2233 1.5868 0.8428
F Br Re
3 1 1
Direct
0.0000 0.5000 0.0000
0.5000 0.0000 0.0000
0.0000 0.0000 0.5000
0.0000 0.0000 0.0000
0.5000 0.5000 0.5000
```

- E above lowest polymorph: 2085 meV/atom
- Uncorrected formation energy: 627 meV/atom
- Theoretical density: 5.5 g/cm3